[1]
6
Lattice="3.408 -11.142 0.000 3.408 11.142 0.000 0.000 0.000 3.268" Properties=species:S:1:pos:R:3 comment="K2Ta | Alexandria | PBE-GGA | optimized geometry" polymorph_energy_ev_per_fu=0.81 delta_e_f_ev_per_atom=0.959 pbc="T T T"
K 3.408 9.337 2.451
K 3.408 4.384 0.817
K 3.408 -4.384 2.451
K 3.408 -9.337 0.817
Ta 3.408 0.969 2.451
Ta 3.408 -0.969 0.817

***

[2]
5
Lattice="5.758 0.000 0.000 0.000 5.758 0.000 0.000 0.000 3.886" Properties=species:S:1:pos:R:3 comment="AlAsBr2F | Alexandria | PBE-GGA | optimized geometry" raw_formation_energy_mev_per_atom=-108 polymorph_energy_ev_per_fu=0.31 pbc="T T T"
Al 0.000 0.000 0.000
As 2.879 2.879 0.000
Br 0.000 2.879 1.943
Br 2.879 0.000 1.943
F 2.879 2.879 1.943

***

[3]
7
Lattice="-2.517 2.517 6.370 2.517 -2.517 6.370 2.517 2.517 -6.370" Properties=species:S:1:pos:R:3 comment="YSi4Pd2 | Alexandria | PBE-GGA | optimized geometry" raw_formation_energy_mev_per_atom=614 pbc="T T T"
Y 0.000 0.000 0.000
Si 2.517 0.000 0.000
Si 0.000 0.000 2.798
Si 0.000 2.517 0.000
Si 0.000 0.000 9.943
Pd 0.000 0.000 5.058
Pd 0.000 0.000 7.683

***

[4]
5
Lattice="5.442 0.000 0.000 0.000 5.442 0.000 0.000 0.000 5.675" Properties=species:S:1:pos:R:3 comment="TiSbPbI2 | Alexandria | PBE-GGA | optimized geometry" raw_formation_energy_mev_per_atom=0 polymorph_energy_ev_per_fu=0.00 pbc="T T T"
Ti 0.000 0.000 0.000
Sb 0.000 0.000 2.837
Pb 2.721 2.721 2.837
I 0.000 2.721 0.000
I 2.721 0.000 0.000

***

[5]
12
Lattice="8.212 -2.995 0.000 8.212 2.995 0.000 -4.223 0.000 8.436" Properties=species:S:1:pos:R:3 comment="Pm4Nd5Er3 | Alexandria | PBE-GGA | optimized geometry" delta_e_f_ev_per_atom=0.211 pbc="T T T"
Pm -0.513 0.000 3.724
Pm -0.130 0.000 7.411
Pm 12.331 0.000 1.025
Pm 12.714 0.000 4.712
Nd 0.000 0.000 0.000
Nd 2.791 0.000 5.167
Nd 5.729 0.000 2.507
Nd 6.471 0.000 5.929
Nd 9.410 0.000 3.269
Er 2.467 0.000 1.922
Er 8.212 0.000 0.000
Er 9.734 0.000 6.514

***

[6]
4
Lattice="2.847 0.000 0.000 0.000 3.687 0.000 -0.020 0.000 6.171" Properties=species:S:1:pos:R:3 comment="FeHgW2 | Alexandria | PBE-GGA | optimized geometry" delta_e_f_ev_per_atom=0.565 pbc="T T T"
Fe 0.000 0.000 0.000
Hg -0.010 0.000 3.085
W 1.413 1.844 1.252
W 1.414 1.844 4.918

***

[7]
6
Lattice="1.889 -5.745 0.000 1.889 5.745 0.000 0.000 0.000 3.977" Properties=species:S:1:pos:R:3 comment="BePd5 | Alexandria | PBE-GGA | optimized geometry" delta_e_f_ev_per_atom=-0.134 pbc="T T T"
Be 0.000 0.000 0.000
Pd 1.889 3.868 1.989
Pd 1.889 1.805 0.000
Pd 1.889 0.000 1.989
Pd 1.889 -1.805 0.000
Pd 1.889 -3.868 1.989

***

[8]
12
Lattice="12.342 -4.575 0.000 12.342 4.575 0.000 -1.956 0.000 6.668" Properties=species:S:1:pos:R:3 comment="CsK4P | Alexandria | PBE-GGA | optimized geometry" delta_e_f_ev_per_atom=-0.104 pbc="T T T"
Cs 4.939 0.000 1.448
Cs 17.789 0.000 5.220
K 9.367 2.230 2.755
K 12.342 2.464 0.000
K 13.360 2.230 3.913
K 7.704 0.000 5.892
K 15.024 0.000 0.776
K 9.367 -2.230 2.755
K 12.342 -2.464 0.000
K 13.360 -2.230 3.913
P 11.686 0.000 2.226
P 11.042 0.000 4.442

***

[9]
4
Lattice="1.426 0.823 9.541 -1.426 0.823 9.541 0.000 -1.646 9.541" Properties=species:S:1:pos:R:3 comment="CaZnTc2 | Alexandria | PBE-GGA | optimized geometry" delta_e_f_ev_per_atom=0.592 pbc="T T T"
Ca 0.000 0.000 0.000
Zn 0.000 0.000 14.312
Tc 0.000 0.000 6.944
Tc 0.000 0.000 21.679

***

[10]
11
Lattice="7.293 -3.196 0.000 7.293 3.196 0.000 -2.657 0.000 8.374" Properties=species:S:1:pos:R:3 comment="Pr5SmSn5 | Alexandria | PBE-GGA | optimized geometry" delta_e_f_ev_per_atom=-0.492 pbc="T T T"
Pr 0.000 0.000 0.000
Pr 4.385 0.000 1.397
Pr 3.074 0.000 5.576
Pr 8.856 0.000 2.798
Pr 7.544 0.000 6.977
Sm -1.329 0.000 4.187
Sn 1.492 0.000 2.775
Sn 0.176 0.000 6.972
Sn 5.965 0.000 4.187
Sn 11.754 0.000 1.402
Sn 10.438 0.000 5.599

***

[11]
4
Lattice="3.439 -3.953 0.000 3.439 3.953 0.000 -0.591 0.000 3.201" Properties=species:S:1:pos:R:3 comment="Zr2CdBr | Alexandria | PBE-GGA | optimized geometry" raw_formation_energy_mev_per_atom=-33 polymorph_energy_ev_per_fu=1.29 pbc="T T T"
Zr 1.719 1.977 0.000
Zr 1.719 -1.977 0.000
Cd -0.296 0.000 1.601
Br 3.143 0.000 1.601

***

[12]
5
Lattice="2.467 -1.322 0.000 2.467 1.322 0.000 -0.218 0.000 10.656" Properties=species:S:1:pos:R:3 comment="Cu4Se | Alexandria | PBE-GGA | optimized geometry" raw_formation_energy_mev_per_atom=220 pbc="T T T"
Cu 0.000 0.000 2.378
Cu 1.581 0.000 4.338
Cu 3.135 0.000 6.318
Cu 4.716 0.000 8.278
Se 2.467 0.000 0.000

***

[13]
4
Lattice="0.000 3.787 3.787 3.787 0.000 3.787 3.787 3.787 0.000" Properties=species:S:1:pos:R:3 comment="SrLuTlAu | Alexandria | PBE-GGA | optimized geometry" delta_e_f_ev_per_atom=-0.465 pbc="T T T"
Sr 0.000 0.000 0.000
Lu 3.787 3.787 3.787
Tl 5.680 5.680 5.680
Au 1.893 1.893 1.893

***

[14]
7
Lattice="-2.693 2.693 7.070 2.693 -2.693 7.070 2.693 2.693 -7.070" Properties=species:S:1:pos:R:3 comment="PuTh2Hg4 | Alexandria | PBE-GGA | optimized geometry" delta_e_f_ev_per_atom=-0.054 pbc="T T T"
Pu 0.000 0.000 0.000
Th 0.000 0.000 3.604
Th 0.000 0.000 10.535
Hg 2.693 0.000 1.595
Hg 2.693 0.000 5.475
Hg 0.000 2.693 1.595
Hg 0.000 2.693 5.475

***

[15]
4
Lattice="2.944 0.000 0.000 0.000 2.944 0.000 0.000 0.000 7.310" Properties=species:S:1:pos:R:3 comment="UFeRe2 | Alexandria | PBE-GGA | optimized geometry" polymorph_energy_ev_per_fu=0.16 delta_e_f_ev_per_atom=0.215 pbc="T T T"
U 0.000 0.000 0.000
Fe 0.000 0.000 3.655
Re 1.472 1.472 2.178
Re 1.472 1.472 5.131

***

[16]
4
Lattice="1.524 0.880 9.678 -1.524 0.880 9.678 0.000 -1.759 9.678" Properties=species:S:1:pos:R:3 comment="In2AgW | Alexandria | PBE-GGA | optimized geometry" polymorph_energy_ev_per_fu=0.00 delta_e_f_ev_per_atom=0.406 pbc="T T T"
In 0.000 0.000 7.231
In 0.000 0.000 21.803
Ag 0.000 0.000 0.000
W 0.000 0.000 14.517

***

[17]
4
Lattice="1.748 1.009 7.069 -1.748 1.009 7.069 0.000 -2.018 7.069" Properties=species:S:1:pos:R:3 comment="Be2CdPb | Alexandria | PBE-GGA | optimized geometry" polymorph_energy_ev_per_fu=1.20 delta_e_f_ev_per_atom=0.704 pbc="T T T"
Be 0.000 0.000 5.216
Be 0.000 0.000 15.992
Cd 0.000 0.000 10.604
Pb 0.000 0.000 0.000

***

[18]
5
Lattice="4.747 0.000 0.000 0.000 4.747 0.000 0.000 0.000 4.588" Properties=species:S:1:pos:R:3 comment="CoRu2BrCl | Alexandria | PBE-GGA | optimized geometry" raw_formation_energy_mev_per_atom=1249 pbc="T T T"
Co 0.000 0.000 0.000
Ru 0.000 2.374 0.000
Ru 2.374 0.000 0.000
Br 0.000 0.000 2.294
Cl 2.374 2.374 2.294

***

[19]
9
Lattice="9.487 -2.274 0.000 9.487 2.274 0.000 -3.505 0.000 7.834" Properties=species:S:1:pos:R:3 comment="Cs2AcPb2S4 | Alexandria | PBE-GGA | optimized geometry" raw_formation_energy_mev_per_atom=-1092 pbc="T T T"
Cs 2.077 0.000 0.539
Cs 13.392 0.000 7.295
Ac -1.753 0.000 3.917
Pb 4.498 0.000 3.498
Pb 10.971 0.000 4.336
S 0.647 0.000 5.646
S 6.410 0.000 5.488
S 9.058 0.000 2.346
S 14.821 0.000 2.188

***

[20]
4
Lattice="1.453 0.839 8.493 -1.453 0.839 8.493 0.000 -1.678 8.493" Properties=species:S:1:pos:R:3 comment="PSeO2 | Alexandria | PBE-GGA | optimized geometry" raw_formation_energy_mev_per_atom=-268 polymorph_energy_ev_per_fu=0.63 pbc="T T T"
P 0.000 0.000 0.000
Se 0.000 0.000 12.740
O 0.000 0.000 1.481
O 0.000 0.000 23.998

***

Number 1: mass density 3.5 g cm⁻³, total moment 0.00 Bohr magnetons per cell. Number 2: mass density 3.6 g cm⁻³, total moment 0.00 Bohr magnetons per cell. Number 3: mass density 4.3 g cm⁻³, total moment 0.00 Bohr magnetons per cell. Number 4: mass density 6.2 g cm⁻³, total moment 1.06 Bohr magnetons per cell. Number 5: mass density 7.2 g cm⁻³, total moment 0.00 Bohr magnetons per cell. Number 6: mass density 16.0 g cm⁻³, total moment 1.29 Bohr magnetons per cell. Number 7: mass density 10.4 g cm⁻³, total moment 0.00 Bohr magnetons per cell. Number 8: mass density 1.4 g cm⁻³, total moment 0.00 Bohr magnetons per cell. Number 9: mass density 7.5 g cm⁻³, total moment 0.00 Bohr magnetons per cell. Number 10: mass density 6.2 g cm⁻³, total moment 0.43 Bohr magnetons per cell. Number 11: mass density 7.1 g cm⁻³, total moment 0.00 Bohr magnetons per cell. Number 12: mass density 8.0 g cm⁻³, total moment 0.00 Bohr magnetons per cell. Number 13: mass density 10.2 g cm⁻³, total moment 0.00 Bohr magnetons per cell. Number 14: mass density 12.2 g cm⁻³, total moment 6.19 Bohr magnetons per cell. Number 15: mass density 17.5 g cm⁻³, total moment 1.12 Bohr magnetons per cell. Number 16: mass density 11.1 g cm⁻³, total moment 0.00 Bohr magnetons per cell. Number 17: mass density 7.5 g cm⁻³, total moment 0.00 Bohr magnetons per cell. Number 18: mass density 6.0 g cm⁻³, total moment 6.73 Bohr magnetons per cell. Number 19: mass density 5.1 g cm⁻³, total moment 0.00 Bohr magnetons per cell. Number 20: mass density 3.8 g cm⁻³, total moment 0.00 Bohr magnetons per cell.